[1]
An optimized crystal structure of YAs, computed with PBE.

a = 4.1653 Å, b = 6.8725 Å, c = 6.8725 Å
α = 117.07°, β = 90.00°, γ = 90.00°
With the nearest neighbours (Å) after each atom.
Sites, in units of the cell vectors:
1 Y 0.0000 0.0000 0.0000  4 As 2.74-2.84
2 Y 0.5000 0.3305 0.7245  5 As 2.82-2.91
3 Y 0.5000 0.7245 0.3305  5 As 2.82-2.91
4 As 0.0000 0.0534 0.4349  5 Y 2.84-2.91
5 As 0.0000 0.4349 0.0534  5 Y 2.84-2.91
6 As 0.5000 0.7520 0.7520  4 Y 2.74-2.82

Calculated values
Energy of formation from the pure elements, eV per formula unit: -2.3

***

[2]
An optimized crystal structure of NbBiBr2, computed with PBE.

a = 7.1948 Å, b = 7.1948 Å, c = 7.1948 Å
α = 98.84°, β = 98.84°, γ = 133.84°
With the nearest neighbours (Å) after each atom.
Sites, in units of the cell vectors:
1 Nb 0.0000 0.0000 0.0000  4 Br 2.69, 2 Bi 2.82
2 Nb 0.7500 0.2500 0.5000  4 Br 2.69, 2 Bi 2.82
3 Bi 0.2500 0.7500 0.5000  2 Nb 2.82
4 Bi 0.5000 0.5000 0.0000  2 Nb 2.82
5 Br 0.3750 0.2448 0.3698  2 Nb 2.69
6 Br 0.7552 0.1250 0.1302  2 Nb 2.69
7 Br 0.8750 0.0052 0.6302  2 Nb 2.69
8 Br 0.9948 0.6250 0.8698  2 Nb 2.69

Calculated values
Uncorrected formation energy, kJ/mol of formula units: 4
Energy above the most stable polymorph in this dataset, meV per atom: 313

***

[3]
An optimized crystal structure of YZnPt2, computed with PBE.

a = 5.2550 Å, b = 5.2550 Å, c = 5.2550 Å
α = 135.18°, β = 134.91°, γ = 65.46°
With the nearest neighbours (Å) after each atom.
Sites, in units of the cell vectors:
1 Y 0.0000 0.0000 0.0000  8 Pt 2.84-2.99, 4 Zn 2.99
2 Zn 0.2509 0.7509 0.5000  8 Pt 2.84-3.00, 4 Y 2.99
3 Pt 0.4994 0.4994 0.0000  4 Y 2.84, 4 Zn 2.97-3.00, 4 Pt 2.98-2.99
4 Pt 0.7495 0.2495 0.5000  4 Zn 2.84, 4 Pt 2.98-2.99, 4 Y 2.99

Calculated values
Energy of formation from the pure elements, eV per formula unit: -3.4

***

| no. | size of the total moment (μB per cell) | theoretical density (g cm⁻³) |
| --- | --- | --- |
| 1 | 0.00 | 4.66 |
| 2 | 3.62 | 6.20 |
| 3 | 0.00 | 12.67 |